[1]
Below is Ta2CoPdPb at its PBEsol-relaxed geometry, with properties calculated at the SCAN level.

## Properties
**Total magnetic moment**: 0.0000 μB per atom
**Energy relative to the elements**: 0.686 eV per atom
**Mass density**: 12.949 Mg/m³
**N(E_F)**: 2.25 states/eV/f.u.

Cell and atoms, written as CIF:
```
data_Ta2CoPdPb
_cell_length_a 4.475
_cell_length_b 4.475
_cell_length_c 4.703
_cell_angle_alpha 90.00
_cell_angle_beta 90.00
_cell_angle_gamma 90.00
_symmetry_space_group_name_H-M 'P 1'
_symmetry_Int_Tables_number 1
_symmetry_space_group_name_Hall 'P 1'
loop_
_atom_site_label
_atom_site_fract_x
_atom_site_fract_y
_atom_site_fract_z
Pb1 0.500 0.500 0.500
Co1 0.000 0.000 0.000
Ta1 0.500 0.000 0.000
Ta2 0.000 0.500 0.000
Pd1 0.000 0.000 0.500
```

---

[2]
Below is CoSiPt2Pb at its PBEsol-relaxed geometry, with properties calculated at the SCAN level.

## Properties
**Formation energy without anion corrections**: 7.95 eV/f.u.
**Total magnetic moment**: 0.3887 μB per atom
**Mass density**: 9.758 Mg/m³
**N(E_F)**: 3.30 states/eV/f.u.

Cell and atoms, written as CIF:
```
data_CoSiPt2Pb
_cell_length_a 4.690
_cell_length_b 4.983
_cell_length_c 4.983
_cell_angle_alpha 90.00
_cell_angle_beta 90.00
_cell_angle_gamma 90.00
_symmetry_space_group_name_H-M 'P 1'
_symmetry_Int_Tables_number 1
_symmetry_space_group_name_Hall 'P 1'
loop_
_atom_site_label
_atom_site_fract_x
_atom_site_fract_y
_atom_site_fract_z
Co1 0.500 0.000 0.000
Pb1 0.000 0.000 0.000
Pt1 0.000 0.000 0.500
Pt2 0.000 0.500 0.000
Si1 0.500 0.500 0.500
```

---

[3]
Below is RbCo3Pb at its PBEsol-relaxed geometry, with properties calculated at the SCAN level.

## Properties
**Total magnetic moment**: 1.1929 μB per atom
**Energy relative to the elements**: 1.182 eV per atom
**Mass density**: 6.296 Mg/m³
**N(E_F)**: 2.14 states/eV/f.u.

Cell and atoms, written as CIF:
```
data_RbCo3Pb
_cell_length_a 4.984
_cell_length_b 4.984
_cell_length_c 4.984
_cell_angle_alpha 90.00
_cell_angle_beta 90.00
_cell_angle_gamma 90.00
_symmetry_space_group_name_H-M 'P 1'
_symmetry_Int_Tables_number 1
_symmetry_space_group_name_Hall 'P 1'
loop_
_atom_site_label
_atom_site_fract_x
_atom_site_fract_y
_atom_site_fract_z
Co1 0.000 0.000 0.500
Co2 0.000 0.500 0.000
Co3 0.500 0.000 0.000
Pb1 0.000 0.000 0.000
Rb1 0.500 0.500 0.500
```

---

[4]
Below is RbCoTcPb2 at its PBEsol-relaxed geometry, with properties calculated at the SCAN level.

## Properties
**Total magnetic moment**: 1.0378 μB per atom
**Energy relative to the elements**: 2.299 eV per atom
**Mass density**: 7.381 Mg/m³
**N(E_F)**: 3.72 states/eV/f.u.

Cell and atoms, written as CIF:
```
data_RbCoTcPb2
_cell_length_a 4.435
_cell_length_b 5.772
_cell_length_c 5.772
_cell_angle_alpha 90.00
_cell_angle_beta 90.00
_cell_angle_gamma 90.00
_symmetry_space_group_name_H-M 'P 1'
_symmetry_Int_Tables_number 1
_symmetry_space_group_name_Hall 'P 1'
loop_
_atom_site_label
_atom_site_fract_x
_atom_site_fract_y
_atom_site_fract_z
Tc1 0.500 0.500 0.500
Pb1 0.000 0.000 0.500
Pb2 0.000 0.500 0.000
Rb1 0.000 0.000 0.000
Co1 0.500 0.000 0.000
```

---

[5]
Below is Co2RePb at its PBEsol-relaxed geometry, with properties calculated at the SCAN level.

## Properties
**Total magnetic moment**: 0.0454 μB per atom
**Energy relative to the elements**: 0.719 eV per atom
**Mass density**: 15.096 Mg/m³
**N(E_F)**: 2.84 states/eV/f.u.

Cell and atoms, written as CIF:
```
data_Co2RePb
_cell_length_a 2.785
_cell_length_b 4.256
_cell_length_c 4.745
_cell_angle_alpha 90.00
_cell_angle_beta 90.20
_cell_angle_gamma 90.00
_symmetry_space_group_name_H-M 'P 1'
_symmetry_Int_Tables_number 1
_symmetry_space_group_name_Hall 'P 1'
loop_
_atom_site_label
_atom_site_fract_x
_atom_site_fract_y
_atom_site_fract_z
Co1 0.876 0.500 0.269
Co2 0.874 0.000 0.957
Pb1 0.377 0.000 0.442
Re1 0.373 0.500 0.832
```

---

[6]
Below is Co2RePb at its PBEsol-relaxed geometry, with properties calculated at the SCAN level.

## Properties
**Total magnetic moment**: 0.1777 μB per atom
**Energy relative to the elements**: 0.850 eV per atom
**Mass density**: 15.145 Mg/m³
**N(E_F)**: 3.40 states/eV/f.u.

Cell and atoms, written as CIF:
```
data_Co2RePb
_cell_length_a 3.772
_cell_length_b 3.772
_cell_length_c 4.758
_cell_angle_alpha 113.35
_cell_angle_beta 113.35
_cell_angle_gamma 90.00
_symmetry_space_group_name_H-M 'P 1'
_symmetry_Int_Tables_number 1
_symmetry_space_group_name_Hall 'P 1'
loop_
_atom_site_label
_atom_site_fract_x
_atom_site_fract_y
_atom_site_fract_z
Pb1 0.500 0.500 0.000
Co1 0.750 0.250 0.500
Co2 0.000 0.000 0.000
Re1 0.250 0.750 0.500
```

---

[7]
Below is Co2RePb at its PBEsol-relaxed geometry, with properties calculated at the SCAN level.

## Properties
**Total magnetic moment**: 0.7905 μB per atom
**Energy relative to the elements**: 0.776 eV per atom
**Mass density**: 15.123 Mg/m³
**N(E_F)**: 2.50 states/eV/f.u.

Cell and atoms, written as CIF:
```
data_Co2RePb
_cell_length_a 4.016
_cell_length_b 4.492
_cell_length_c 4.016
_cell_angle_alpha 116.55
_cell_angle_beta 90.00
_cell_angle_gamma 116.55
_symmetry_space_group_name_H-M 'P 1'
_symmetry_Int_Tables_number 1
_symmetry_space_group_name_Hall 'P 1'
loop_
_atom_site_label
_atom_site_fract_x
_atom_site_fract_y
_atom_site_fract_z
Co1 0.250 0.500 0.750
Co2 0.750 0.500 0.250
Pb1 0.000 0.000 0.000
Re1 0.500 0.000 0.500
```

---

[8]
Below is Zr2CoRePb at its PBEsol-relaxed geometry, with properties calculated at the SCAN level.

## Properties
**Total magnetic moment**: 0.0008 μB per atom
**Energy relative to the elements**: 0.595 eV per atom
**Mass density**: 9.446 Mg/m³
**N(E_F)**: 4.51 states/eV/f.u.

Cell and atoms, written as CIF:
```
data_Zr2CoRePb
_cell_length_a 4.429
_cell_length_b 5.019
_cell_length_c 5.019
_cell_angle_alpha 90.00
_cell_angle_beta 90.00
_cell_angle_gamma 90.00
_symmetry_space_group_name_H-M 'P 1'
_symmetry_Int_Tables_number 1
_symmetry_space_group_name_Hall 'P 1'
loop_
_atom_site_label
_atom_site_fract_x
_atom_site_fract_y
_atom_site_fract_z
Zr1 0.000 0.000 0.500
Zr2 0.000 0.500 0.000
Pb1 0.500 0.500 0.500
Co1 0.500 0.000 0.000
Re1 0.000 0.000 0.000
```

---

Which formula does entry 3 have?
RbCo3Pb

---

Copy entry 1 word for word.
Below is Ta2CoPdPb at its PBEsol-relaxed geometry, with properties calculated at the SCAN level.

## Properties
**Total magnetic moment**: 0.0000 μB per atom
**Energy relative to the elements**: 0.686 eV per atom
**Mass density**: 12.949 Mg/m³
**N(E_F)**: 2.25 states/eV/f.u.

Cell and atoms, written as CIF:
```
data_Ta2CoPdPb
_cell_length_a 4.475
_cell_length_b 4.475
_cell_length_c 4.703
_cell_angle_alpha 90.00
_cell_angle_beta 90.00
_cell_angle_gamma 90.00
_symmetry_space_group_name_H-M 'P 1'
_symmetry_Int_Tables_number 1
_symmetry_space_group_name_Hall 'P 1'
loop_
_atom_site_label
_atom_site_fract_x
_atom_site_fract_y
_atom_site_fract_z
Pb1 0.500 0.500 0.500
Co1 0.000 0.000 0.000
Ta1 0.500 0.000 0.000
Ta2 0.000 0.500 0.000
Pd1 0.000 0.000 0.500
```

---

Please write out number 2 again, unchanged.
Below is CoSiPt2Pb at its PBEsol-relaxed geometry, with properties calculated at the SCAN level.

## Properties
**Formation energy without anion corrections**: 7.95 eV/f.u.
**Total magnetic moment**: 0.3887 μB per atom
**Mass density**: 9.758 Mg/m³
**N(E_F)**: 3.30 states/eV/f.u.

Cell and atoms, written as CIF:
```
data_CoSiPt2Pb
_cell_length_a 4.690
_cell_length_b 4.983
_cell_length_c 4.983
_cell_angle_alpha 90.00
_cell_angle_beta 90.00
_cell_angle_gamma 90.00
_symmetry_space_group_name_H-M 'P 1'
_symmetry_Int_Tables_number 1
_symmetry_space_group_name_Hall 'P 1'
loop_
_atom_site_label
_atom_site_fract_x
_atom_site_fract_y
_atom_site_fract_z
Co1 0.500 0.000 0.000
Pb1 0.000 0.000 0.000
Pt1 0.000 0.000 0.500
Pt2 0.000 0.500 0.000
Si1 0.500 0.500 0.500
```

---

Which of these has the lowest mass density?
RbCo3Pb